1.
BaNi2Ru | PBE-GGA | optimized geometry

Cell: 4.684 4.684 4.684 Å, 60.00 60.00 60.00°
Last column: magnetic moment on the atom in μB.
Fractional positions:
Ru (0.000, 0.000, 0.000)  1.27
Ba (0.500, 0.500, 0.500)  -0.04
Ni (0.250, 0.250, 0.250)  0.39
Ni (0.750, 0.750, 0.750)  0.39

Values from the calculation:
E_form	0.84	eV/atom
calculated volume	72.7	Å³/cell
SG	Fm-3m, No. 225
energy above the lowest structure with this stoichiometry	0.734	eV per atom

=====

2.
RbThAlTe4 | PBE-GGA | optimized geometry

Cell: 7.274 7.629 10.202 Å, 90.00 109.14 90.00°
Fractional positions:
Rb (0.765, 0.750, 0.949)
Rb (0.235, 0.250, 0.051)
Th (0.769, 0.750, 0.445)
Th (0.231, 0.250, 0.555)
Al (0.227, 0.750, 0.334)
Al (0.773, 0.250, 0.666)
Te (0.023, 0.513, 0.707)
Te (0.977, 0.013, 0.293)
Te (0.977, 0.487, 0.293)
Te (0.023, 0.987, 0.707)
Te (0.421, 0.750, 0.162)
Te (0.579, 0.250, 0.838)
Te (0.451, 0.750, 0.592)
Te (0.549, 0.250, 0.408)

Values from the calculation:
calculated volume	534.9	Å³/cell
SG	P2_1/m, No. 11
energy	-4.482	eV per atom

=====

3.
PrSm3Rh | PBE-GGA | optimized geometry

Cell: 5.545 5.545 5.545 Å, 90.00 90.00 90.00°
Last column: magnetic moment on the atom in μB.
Fractional positions:
Pr (0.500, 0.500, 0.500)  0.32
Rh (0.000, 0.000, 0.000)  0.04
Sm (0.000, 0.500, 0.000)  0.10
Sm (0.000, 0.000, 0.500)  0.10
Sm (0.500, 0.000, 0.000)  0.10

Values from the calculation:
E_form	-0.18	eV/atom
calculated volume	170.5	Å³/cell
SG	Pm-3m, No. 221
energy above the lowest structure with this stoichiometry	0.126	eV per atom

=====

4.
PHS | PBE-GGA | optimized geometry

Cell: 3.158 3.163 5.652 Å, 103.06 95.73 91.74°
Fractional positions:
P (0.567, 0.005, 0.632)
H (0.809, 0.610, 0.208)
S (0.467, 0.862, 0.259)

Values from the calculation:
calculated volume	54.6	Å³/cell
SG	P1, No. 1
energy above the lowest structure with this stoichiometry	0.340	eV per atom

=====

5.
MgRePb2 | PBE-GGA | optimized geometry

Cell: 5.722 5.722 5.722 Å, 136.25 136.25 63.59°
Last column: magnetic moment on the atom in μB.
Fractional positions:
Mg (0.750, 0.250, 0.500)  -0.01
Pb (0.000, 0.000, 0.000)  -0.01
Pb (0.250, 0.750, 0.500)  0.00
Re (0.500, 0.500, 0.000)  1.15

Values from the calculation:
E_form	0.79	eV/atom
calculated volume	88.4	Å³/cell
SG	I-4m2, No. 119

=====

6.
HfTiVIn | PBE-GGA | optimized geometry

Cell: 4.729 4.729 4.729 Å, 60.00 60.00 60.00°
Last column: magnetic moment on the atom in μB.
Fractional positions:
Ti (0.250, 0.250, 0.250)  -0.22
V (0.000, 0.000, 0.000)  1.47
Hf (0.750, 0.750, 0.750)  0.06
In (0.500, 0.500, 0.500)  -0.04

Values from the calculation:
E_form	0.06	eV/atom
calculated volume	74.8	Å³/cell
SG	F-43m, No. 216

=====

7.
RbNa2SbI6 | PBE-GGA | optimized geometry

Cell: 8.252 8.252 8.927 Å, 62.47 62.47 60.00°
Fractional positions:
Rb (0.808, 0.807, 0.577)
Na (0.520, 0.520, 0.441)
Na (0.998, 0.998, 0.005)
Sb (0.330, 0.330, 0.011)
I (0.577, 0.252, 0.233)
I (0.252, 0.939, 0.233)
I (0.939, 0.577, 0.233)
I (0.353, 0.725, 0.761)
I (0.725, 0.160, 0.761)
I (0.160, 0.353, 0.761)

Values from the calculation:
calculated volume	445.2	Å³/cell
SG	R3, No. 146
energy	-2.620	eV per atom

=====

8.
LaSiAg2Se4 | PBE-GGA | optimized geometry

Cell: 8.138 8.138 8.637 Å, 122.01 122.01 89.60°
Fractional positions:
La (0.000, 0.500, 0.000)
La (0.000, 0.500, 0.500)
Si (0.500, 0.500, 0.500)
Si (0.000, 0.000, 0.000)
Ag (0.500, 0.000, 0.000)
Ag (0.500, 0.000, 0.500)
Ag (0.000, 0.000, 0.500)
Ag (0.500, 0.500, 0.000)
Se (0.252, 0.771, 0.011)
Se (0.729, 0.248, 0.489)
Se (0.271, 0.752, 0.511)
Se (0.748, 0.229, 0.989)
Se (0.742, 0.757, 0.963)
Se (0.743, 0.758, 0.537)
Se (0.257, 0.242, 0.463)
Se (0.258, 0.243, 0.037)

Values from the calculation:
calculated volume	380.3	Å³/cell
SG	Imma, No. 74
energy	-4.345	eV per atom

=====

- Which value of calculated volume does entry 7 give?
  445.2 Å³/cell